SbTe2As: relaxed, PBEsol.

Output
Total moment ... 0.0 Bohr magnetons per cell
Raw formation energy ... 0.8 eV per formula unit

The structure in POSCAR format:
```
SbTe2As
1.0
3.803 0.000 0.000
-1.902 3.294 0.000
0.000 0.000 28.526
Sb Te As
3 6 3
Direct
0.000 0.000 0.000 Sb
0.333 0.667 0.667 Sb
0.667 0.333 0.333 Sb
0.000 0.000 0.104 Te
0.000 0.000 0.896 Te
0.333 0.667 0.563 Te
0.333 0.667 0.771 Te
0.667 0.333 0.229 Te
0.667 0.333 0.437 Te
0.000 0.000 0.500 As
0.333 0.667 0.167 As
0.667 0.333 0.833 As
```



Cr2NiPb: relaxed, PBEsol.

Output
Total moment ... 0.3 Bohr magnetons per cell
DFT formation energy ... 1.75 eV per formula unit

The structure in POSCAR format:
```
Cr2NiPb
1.0
3.941 0.000 0.000
0.000 3.941 0.000
0.000 0.000 7.546
Cr Ni Pb
4 2 2
Direct
0.000 0.000 0.000 Cr
0.000 0.500 0.250 Cr
0.500 0.000 0.750 Cr
0.500 0.500 0.500 Cr
0.000 0.000 0.500 Ni
0.500 0.500 0.000 Ni
0.000 0.500 0.750 Pb
0.500 0.000 0.250 Pb
```